Record 1
This record from Alexandria via LeMat-Bulk describes crystalline BaSr3Pd2 at its relaxed geometry. The functional is PBE-GGA.

For the density of states at the Fermi level, the calculation gives 0.50 states/eV/atom. The formation enthalpy at 0 K comes out at -0.440 eV/atom. As for the volume: 38.72 A^3/atom. The calculation puts the total energy at -3.33 eV/atom.

It has space group C2/m (No. 12), with a = 18.427 Å, b = 4.581 Å, c = 13.112 Å, α = 90.00°, β = 122.90° and γ = 90.00°. The asymmetric unit holds Ba at (0.156, 0.000, 0.247), Sr at (0.096, 0.500, 0.451), Sr at (0.097, 0.500, 0.942), Sr at (0.163, 0.000, 0.755), Pd at (0.232, 0.000, 0.054) and Pd at (0.232, 0.000, 0.557).

***

Record 2
This record from Alexandria via LeMat-Bulk describes crystalline VCd2RhC at its relaxed geometry. The functional is PBE-GGA.

For the density of states at the Fermi level, the calculation gives 1.45 states/eV/atom. The formation enthalpy at 0 K comes out at 2.094 eV/atom. As for the volume: 23.93 A^3/atom. The calculation puts the total energy at -3.41 eV/atom.

It has space group P4/mmm (No. 123), with a = 5.273 Å, b = 5.273 Å, c = 4.302 Å, α = 90.00°, β = 90.00° and γ = 90.00°. The asymmetric unit holds V at (0.000, 0.000, 0.000), Cd at (0.000, 0.500, 0.000), Rh at (0.000, 0.000, 0.500) and C at (0.500, 0.500, 0.500).